Entry 1:
Crystalline NdPu2P3 at its relaxed geometry. Source: Alexandria, functional PBE-GGA.

abc: 7.0156 7.0156 12.8082
angles: 100.51 100.51 109.51
Each line ends with the local moment (μB).
Fractional positions:
Pu 0.2489 0.2489 0.4977  4.93
Pu 0.6657 0.1657 0.3314  4.91
Pu 0.0011 0.5011 0.0023  4.93
Pu 0.7511 0.7511 0.5023  4.93
Pu 0.8343 0.3343 0.6686  4.91
Pu 0.4989 0.9989 0.9977  4.93
Pu 0.5843 0.5843 0.1686  4.91
Pu 0.4157 0.4157 0.8314  4.91
P 0.1685 0.6569 0.8377  -0.12
P 0.4307 0.4192 0.3377  -0.12
P 0.6692 0.1807 0.8377  -0.12
P 0.9879 0.4879 0.5000  -0.12
P 0.8193 0.3308 0.1623  -0.12
P 0.2621 0.2621 0.0000  -0.12
P 0.7379 0.7379 0.0000  -0.12
P 0.5121 0.0121 0.5000  -0.12
P 0.5808 0.5693 0.6623  -0.12
P 0.9069 0.9185 0.3377  -0.12
P 0.0815 0.0931 0.6623  -0.12
P 0.3431 0.8315 0.1623  -0.12
Nd 0.3331 0.8331 0.6663  0.03
Nd 0.1669 0.6669 0.3337  0.03
Nd 0.0831 0.0831 0.1663  0.03
Nd 0.9169 0.9169 0.8337  0.03

Output
- total magnetic moment (Bohr magnetons per cell) = 39.7
- SG = No. 70
- formation enthalpy at 0 K (meV per atom) = -1274

***

Entry 2:
Crystalline NdPuP2 at its relaxed geometry. Source: Alexandria, functional PBE-GGA.

abc: 4.0423 4.0423 7.2705
angles: 73.86 73.86 60.00
Each line ends with the local moment (μB).
Fractional positions:
P 0.2563 0.2563 0.2312  -0.12
P 0.0775 0.0775 0.7674  -0.11
Pu 0.6691 0.6691 0.9927  4.95
Nd 0.4971 0.4971 0.5087  0.05

Output
- total magnetic moment (Bohr magnetons per cell) = 5.0
- distance to the lowest polymorph of the same formula (eV/f.u.) = 0.61
- SG = No. 160
- formation enthalpy at 0 K (meV per atom) = -1187

***

Entry 3:
Crystalline NdPuP2 at its relaxed geometry. Source: Alexandria, functional PBE-GGA.

abc: 4.0420 4.0421 7.0334
angles: 90.00 90.00 120.00
Each line ends with the local moment (μB).
Fractional positions:
P 0.6667 0.8334 0.7640  -0.12
P 0.3333 0.1666 0.2360  -0.12
Nd 0.0000 0.5000 0.5000  0.08
Pu 0.0000 0.5000 0.0000  4.99

Output
- total magnetic moment (Bohr magnetons per cell) = 5.0
- distance to the lowest polymorph of the same formula (eV/f.u.) = 0.93
- SG = No. 164
- formation enthalpy at 0 K (meV per atom) = -1108

***

Entry 4:
Crystalline Nd2PuP3Rh12 at its relaxed geometry. Source: Alexandria, functional PBE-GGA.

abc: 7.3174 7.3174 7.3174
angles: 69.15 69.15 69.15
Each line ends with the local moment (μB).
Fractional positions:
Rh 0.9090 0.3327 0.3327  -0.02
Rh 0.6673 0.0910 0.6673  -0.02
Rh 0.8569 0.3817 0.8569  -0.15
Rh 0.3817 0.8569 0.8569  -0.15
Rh 0.1431 0.6183 0.1431  -0.15
Rh 0.0910 0.6673 0.6673  -0.02
Rh 0.3327 0.3327 0.9090  -0.02
Rh 0.3327 0.9090 0.3327  -0.02
Rh 0.8569 0.8569 0.3817  -0.15
Rh 0.1431 0.1431 0.6183  -0.15
Rh 0.6673 0.6673 0.0910  -0.02
Rh 0.6183 0.1431 0.1431  -0.15
P 0.0000 0.0000 0.5000  0.00
P 0.0000 0.5000 0.0000  0.00
P 0.5000 0.0000 0.0000  0.00
Nd 0.6000 0.6000 0.6000  0.03
Nd 0.4000 0.4000 0.4000  0.03
Pu 0.0000 0.0000 0.0000  4.07

Output
- total magnetic moment (Bohr magnetons per cell) = 3.2
- SG = No. 166
- formation enthalpy at 0 K (meV per atom) = -287

***

Entry 5:
Crystalline Nd2PuP3Rh4 at its relaxed geometry. Source: Alexandria, functional PBE-GGA.

abc: 4.0504 4.0504 11.1488
angles: 90.00 90.00 90.00
Each line ends with the local moment (μB).
Fractional positions:
P 0.5000 0.0000 0.8765  0.01
P 0.0000 0.5000 0.1235  0.01
P 0.0000 0.0000 0.5000  -0.10
Pu 0.5000 0.5000 0.5000  4.97
Rh 0.5000 0.5000 0.0000  0.07
Rh 0.0000 0.5000 0.3334  -0.10
Rh 0.0000 0.0000 0.0000  0.06
Rh 0.5000 0.0000 0.6666  -0.10
Nd 0.5000 0.0000 0.2251  0.04
Nd 0.0000 0.5000 0.7749  0.04

Output
- total magnetic moment (Bohr magnetons per cell) = 5.3
- SG = No. 115
- formation enthalpy at 0 K (meV per atom) = -983

***

Entry 6:
Crystalline NdPuPS at its relaxed geometry. Source: Alexandria, functional PBE-GGA.

abc: 4.0688 4.0688 6.9848
angles: 73.07 73.07 60.00
Each line ends with the local moment (μB).
Fractional positions:
Nd 0.6951 0.6951 0.9146  0.06
S 0.9400 0.9400 0.1800  -0.07
P 0.4480 0.4480 0.6561  -0.08
Pu 0.1933 0.1933 0.4200  5.16

Output
- total magnetic moment (Bohr magnetons per cell) = 5.4
- SG = No. 160
- formation energy (no corrections) (eV per formula unit) = -6.667

***

Entry 7:
Crystalline NdPu2ScP4 at its relaxed geometry. Source: Alexandria, functional PBE-GGA.

abc: 3.9988 6.9205 6.8525
angles: 109.64 90.00 90.00
Each line ends with the local moment (μB).
Fractional positions:
P 0.0000 0.7651 0.2579  -0.10
P 0.5000 0.7623 0.7508  -0.10
P 0.0000 0.2349 0.7421  -0.10
P 0.5000 0.2377 0.2492  -0.10
Nd 0.5000 0.5000 0.0000  0.03
Sc 0.0000 0.0000 0.0000  0.02
Pu 0.5000 0.0000 0.5000  4.81
Pu 0.0000 0.5000 0.5000  5.00

Output
- total magnetic moment (Bohr magnetons per cell) = 9.8
- SG = No. 10
- formation enthalpy at 0 K (meV per atom) = -1297

***

Entry 8:
Crystalline Nd2PuScP4 at its relaxed geometry. Source: Alexandria, functional PBE-GGA.

abc: 4.0361 6.9361 6.9617
angles: 109.48 90.00 90.00
Each line ends with the local moment (μB).
Fractional positions:
Pu 0.0000 0.0000 0.0000  4.83
P 0.5000 0.2476 0.2304  -0.08
P 0.5000 0.7524 0.7696  -0.08
P 0.0000 0.7388 0.2282  -0.05
P 0.0000 0.2612 0.7718  -0.05
Sc 0.5000 0.5000 0.0000  0.03
Nd 0.0000 0.5000 0.5000  0.03
Nd 0.5000 0.0000 0.5000  0.04

Output
- total magnetic moment (Bohr magnetons per cell) = 4.9
- SG = No. 10
- formation enthalpy at 0 K (meV per atom) = -1391

***

Entry 9:
Crystalline Nd2SmPuP4 at its relaxed geometry. Source: Alexandria, functional PBE-GGA.

abc: 4.1137 7.1051 7.1089
angles: 109.47 90.00 90.00
Each line ends with the local moment (μB).
Fractional positions:
Nd 0.0000 0.5000 0.5000  0.02
Nd 0.5000 0.0000 0.5000  0.03
Pu 0.0000 0.0000 0.0000  4.90
P 0.0000 0.2472 0.7576  -0.05
P 0.0000 0.7528 0.2424  -0.05
P 0.5000 0.7592 0.7617  -0.08
P 0.5000 0.2408 0.2383  -0.08
Sm 0.5000 0.5000 0.0000  0.02

Output
- total magnetic moment (Bohr magnetons per cell) = 4.9
- SG = No. 10
- formation enthalpy at 0 K (meV per atom) = -1436

***

Entry 10:
Crystalline NdSm2PuP4 at its relaxed geometry. Source: Alexandria, functional PBE-GGA.

abc: 4.0994 7.0838 7.0804
angles: 109.48 90.00 90.00
Each line ends with the local moment (μB).
Fractional positions:
Sm 0.0000 0.5000 0.5000  0.02
Sm 0.5000 0.0000 0.5000  0.02
P 0.5000 0.2410 0.2434  -0.08
P 0.0000 0.2436 0.7515  -0.05
P 0.5000 0.7590 0.7566  -0.08
P 0.0000 0.7564 0.2485  -0.05
Nd 0.5000 0.5000 0.0000  0.03
Pu 0.0000 0.0000 0.0000  4.91

Output
- total magnetic moment (Bohr magnetons per cell) = 4.9
- SG = No. 10
- formation enthalpy at 0 K (meV per atom) = -1443

***

Entry 11:
Crystalline TbNd2PuP4 at its relaxed geometry. Source: Alexandria, functional PBE-GGA.

abc: 4.0925 7.0652 7.0754
angles: 109.47 90.00 90.00
Each line ends with the local moment (μB).
Fractional positions:
Nd 0.5000 0.0000 0.5000  0.03
Nd 0.0000 0.5000 0.5000  0.02
P 0.0000 0.2506 0.7609  -0.05
P 0.0000 0.7494 0.2391  -0.05
P 0.5000 0.7576 0.7635  -0.08
P 0.5000 0.2424 0.2365  -0.08
Tb 0.5000 0.5000 0.0000  0.02
Pu 0.0000 0.0000 0.0000  4.88

Output
- total magnetic moment (Bohr magnetons per cell) = 4.9
- SG = No. 10
- formation enthalpy at 0 K (meV per atom) = -1446

***

Entry 12:
Crystalline NdPuTeP at its relaxed geometry. Source: Alexandria, functional PBE-GGA.

abc: 4.2304 4.2304 7.5572
angles: 73.75 73.75 60.00
Each line ends with the local moment (μB).
Fractional positions:
Nd 0.2611 0.2611 0.2168  -0.06
Pu 0.7388 0.7388 0.7835  -5.28
Te 0.4973 0.4973 0.5082  0.06
P 0.0028 0.0028 0.9915  0.07

Output
- total magnetic moment (Bohr magnetons per cell) = 5.6
- SG = No. 160
- formation energy (no corrections) (eV per formula unit) = -5.411